[1]
DFT (GGA-PBE) results for crystalline TlVHg3 at its relaxed geometry.

Crystal system: cubic
Space-group type: No. 221

Lattice parameters (Å, degrees): 5.3794 5.3794 5.3794 90.00 90.00 90.00
Last column: nearest neighbours and their distance in Å.
Element x y z (fractional)
Tl 0.5000 0.5000 0.5000  12 Hg 3.80
Hg 0.0000 0.5000 0.0000  2 V 2.69
Hg 0.0000 0.0000 0.5000  2 V 2.69
Hg 0.5000 0.0000 0.0000  2 V 2.69
V 0.0000 0.0000 0.0000  6 Hg 2.69

---

[2]
DFT (GGA-PBE) results for crystalline PmY4Er6 at its relaxed geometry.

Crystal system: tetragonal
Space-group type: No. 121

Lattice parameters (Å, degrees): 7.5998 7.5998 8.4834 116.61 116.61 90.00
Last column: nearest neighbours and their distance in Å.
Element x y z (fractional)
Pm 0.5000 0.5000 0.0000  8 Er 3.53-3.80, 4 Y 3.71
Y 0.0897 0.7532 0.8429  3 Er 3.01-3.24, 2 Y 3.29
Y 0.9103 0.9103 0.1571  3 Er 3.01-3.24, 2 Y 3.29
Y 0.7532 0.0897 0.8429  3 Er 3.01-3.24, 2 Y 3.29
Y 0.2468 0.2468 0.1571  3 Er 3.01-3.24, 2 Y 3.29
Er 0.9237 0.4410 0.3647  4 Y 3.24-3.59, 1 Pm 3.53, 2 Er 3.60
Er 0.4410 0.9237 0.3647  4 Y 3.24-3.59, 1 Pm 3.53, 2 Er 3.60
Er 0.5590 0.5590 0.6353  4 Y 3.24-3.59, 1 Pm 3.53, 2 Er 3.60
Er 0.0000 0.5000 0.0000  4 Y 3.01
Er 0.0763 0.0763 0.6353  4 Y 3.24-3.59, 1 Pm 3.53, 2 Er 3.60
Er 0.5000 0.0000 0.0000  4 Y 3.01

---

[3]
DFT (GGA-PBE) results for crystalline Ac2Hg3Rh at its relaxed geometry.

Crystal system: orthorhombic
Space-group type: No. 25

Lattice parameters (Å, degrees): 4.0081 5.0302 8.4856 90.00 90.00 90.00
Last column: nearest neighbours and their distance in Å.
Element x y z (fractional)
Ac 0.0000 0.5000 0.0489  2 Rh 3.05, 4 Hg 3.38
Ac 0.0000 0.0000 0.4785  8 Hg 3.28-3.59, 4 Rh 3.49
Hg 0.5000 0.0000 0.8302  3 Hg 2.90-2.94
Hg 0.5000 0.0000 0.1719  2 Rh 2.81, 1 Hg 2.90
Hg 0.5000 0.5000 0.6510  1 Rh 2.81, 2 Hg 2.94
Rh 0.5000 0.5000 0.3194  3 Hg 2.81, 2 Ac 3.05

---

[4]
DFT (GGA-PBE) results for crystalline LiMg3Ni2H6 at its relaxed geometry.

Crystal system: trigonal
Space-group type: No. 164

Lattice parameters (Å, degrees): 4.7127 4.7127 5.8003 90.00 90.00 120.00
Last column: nearest neighbours and their distance in Å.
Element x y z (fractional)
Li 0.0000 0.0000 0.5000  6 H 1.78
Mg 0.3333 0.6667 0.7155  6 H 2.36
Mg 0.6667 0.3333 0.2845  6 H 2.36
Mg 0.0000 0.0000 0.0000  6 H 2.07
Ni 0.6667 0.3333 0.7947  3 H 1.53
Ni 0.3333 0.6667 0.2053  3 H 1.53
H 0.6908 0.8454 0.2834  1 Ni 1.53
H 0.1546 0.3092 0.2834  1 Ni 1.53
H 0.1546 0.8454 0.2834  1 Ni 1.53
H 0.8454 0.6908 0.7166  1 Ni 1.53
H 0.3092 0.1546 0.7166  1 Ni 1.53
H 0.8454 0.1546 0.7166  1 Ni 1.53

---

[5]
DFT (GGA-PBE) results for crystalline Rb3Tb2DySe6 at its relaxed geometry.

Formation energy from raw total energies, meV/atom: -1742
Crystal system: monoclinic
Space-group type: No. 12

Lattice parameters (Å, degrees): 7.3675 7.3675 8.3655 98.44 98.44 120.00
Last column: nearest neighbours and their distance in Å.
Element x y z (fractional)
Rb 0.1670 0.8330 0.5000  6 Se 3.45-3.46
Rb 0.8330 0.1670 0.5000  6 Se 3.45-3.46
Rb 0.5000 0.5000 0.5000  6 Se 3.45-3.46
Tb 0.3334 0.6666 0.0000  6 Se 2.92
Tb 0.6666 0.3334 0.0000  6 Se 2.92
Dy 0.0000 0.0000 0.0000  6 Se 2.91
Se 0.9347 0.6024 0.8041  1 Dy 2.91, 2 Tb 2.92
Se 0.7331 0.7331 0.1960  1 Dy 2.91, 2 Tb 2.92
Se 0.0653 0.3976 0.1959  1 Dy 2.91, 2 Tb 2.92
Se 0.6024 0.9347 0.8041  1 Dy 2.91, 2 Tb 2.92
Se 0.2669 0.2669 0.8040  1 Dy 2.91, 2 Tb 2.92
Se 0.3976 0.0653 0.1959  1 Dy 2.91, 2 Tb 2.92

---

[6]
DFT (GGA-PBE) results for crystalline AcTaIr at its relaxed geometry.

Crystal system: tetragonal
Space-group type: No. 129

Lattice parameters (Å, degrees): 4.5888 4.5888 7.2193 90.00 90.00 90.00
Last column: nearest neighbours and their distance in Å.
Element x y z (fractional)
Ac 0.0000 0.5000 0.8667  5 Ir 3.33-3.54, 4 Ta 3.50
Ac 0.5000 0.0000 0.1333  5 Ir 3.33-3.54, 4 Ta 3.50
Ir 0.0000 0.5000 0.3280  4 Ta 2.61
Ir 0.5000 0.0000 0.6720  4 Ta 2.61
Ta 0.5000 0.5000 0.5000  4 Ir 2.61
Ta 0.0000 0.0000 0.5000  4 Ir 2.61

---

[7]
DFT (GGA-PBE) results for crystalline ZrGaN3 at its relaxed geometry.

Formation energy from raw total energies, meV/atom: 490
Crystal system: cubic
Space-group type: No. 221

Lattice parameters (Å, degrees): 3.7837 3.7837 3.7837 90.00 90.00 90.00
Last column: nearest neighbours and their distance in Å.
Element x y z (fractional)
Ga 0.0000 0.0000 0.0000  6 N 1.89
Zr 0.5000 0.5000 0.5000  12 N 2.68
N 0.0000 0.5000 0.0000  2 Ga 1.89
N 0.0000 0.0000 0.5000  2 Ga 1.89
N 0.5000 0.0000 0.0000  2 Ga 1.89

---

[8]
DFT (GGA-PBE) results for crystalline Rb2Ba4Ir at its relaxed geometry.

Crystal system: tetragonal
Space-group type: No. 139

Lattice parameters (Å, degrees): 6.3567 6.3567 12.5004 75.27 75.27 90.00
Last column: nearest neighbours and their distance in Å.
Element x y z (fractional)
Ir 0.0000 0.0000 0.0000  6 Ba 2.95-3.18
Ba 0.8734 0.8734 0.2532  1 Ir 2.95
Ba 0.1266 0.1266 0.7468  1 Ir 2.95
Ba 0.0000 0.5000 0.0000  2 Ir 3.18
Ba 0.5000 0.0000 0.0000  2 Ir 3.18
Rb 0.6721 0.6721 0.6558  9 Ba 4.62-5.12
Rb 0.3279 0.3279 0.3442  9 Ba 4.62-5.12

---

[9]
DFT (GGA-PBE) results for crystalline TlAgAs2O8 at its relaxed geometry.

Formation energy from raw total energies, meV/atom: -580
Crystal system: trigonal
Space-group type: No. 155

Lattice parameters (Å, degrees): 5.1523 5.1523 7.9571 71.11 71.11 60.00
Last column: nearest neighbours and their distance in Å.
Element x y z (fractional)
Tl 0.5000 0.5000 0.5000  6 O 2.29
Ag 0.0000 0.0000 0.0000  12 O 2.85-2.98
As 0.7485 0.7485 0.7546  4 O 1.73
As 0.2515 0.2515 0.2454  4 O 1.73
O 0.6703 0.6703 0.9890  1 As 1.73
O 0.3297 0.3297 0.0110  1 As 1.73
O 0.5596 0.2095 0.3124  1 As 1.73
O 0.7905 0.4404 0.6876  1 As 1.73
O 0.0814 0.7905 0.6876  1 As 1.73
O 0.2095 0.9186 0.3124  1 As 1.73
O 0.9186 0.5596 0.3124  1 As 1.73
O 0.4404 0.0814 0.6876  1 As 1.73

---

[10]
DFT (GGA-PBE) results for crystalline Ba2SiAgRu at its relaxed geometry.

Formation energy from raw total energies, meV/atom: 709
Crystal system: tetragonal
Space-group type: No. 123

Lattice parameters (Å, degrees): 6.2661 4.6043 6.2661 90.00 90.00 90.00
Last column: nearest neighbours and their distance in Å.
Element x y z (fractional)
Ru 0.5000 0.5000 0.5000  8 Ba 3.89
Si 0.0000 0.5000 0.0000  2 Ag 2.30
Ba 0.0000 0.0000 0.5000  2 Ag 3.13
Ba 0.5000 0.0000 0.0000  2 Ag 3.13
Ag 0.0000 0.0000 0.0000  2 Si 2.30

---

[11]
DFT (GGA-PBE) results for crystalline CuW2N2 at its relaxed geometry.

Formation energy from raw total energies, meV/atom: 133
Crystal system: tetragonal
Space-group type: No. 139

Lattice parameters (Å, degrees): 3.6516 3.6516 5.2152 69.51 69.51 90.00
Last column: nearest neighbours and their distance in Å.
Element x y z (fractional)
Cu 0.0000 0.0000 0.0000  8 W 2.89, 8 N 2.91
W 0.3579 0.3579 0.2842  4 N 2.07
W 0.6421 0.6421 0.7158  4 N 2.07
N 0.7500 0.2500 0.5000  4 W 2.07
N 0.2500 0.7500 0.5000  4 W 2.07

---

[12]
DFT (GGA-PBE) results for crystalline CsMg2TlPb at its relaxed geometry.

Crystal system: monoclinic
Space-group type: No. 11

Lattice parameters (Å, degrees): 4.8548 8.8230 9.3217 106.62 90.00 90.00
Last column: nearest neighbours and their distance in Å.
Element x y z (fractional)
Cs 0.7500 0.2833 0.0912  2 Tl 3.89, 2 Pb 3.98
Cs 0.2500 0.7167 0.9088  2 Tl 3.89, 2 Pb 3.98
Mg 0.2500 0.7021 0.4024  1 Mg 2.98, 3 Tl 2.98-3.06, 2 Pb 3.05
Mg 0.2500 0.0370 0.3930  1 Tl 2.89, 1 Mg 2.98, 3 Pb 3.12-3.16
Mg 0.7500 0.9630 0.6070  1 Tl 2.89, 1 Mg 2.98, 3 Pb 3.12-3.16
Mg 0.7500 0.2979 0.5976  1 Mg 2.98, 3 Tl 2.98-3.06, 2 Pb 3.05
Tl 0.7500 0.6260 0.5687  4 Mg 2.89-3.06
Tl 0.2500 0.3740 0.4313  4 Mg 2.89-3.06
Pb 0.7500 0.8110 0.2611  5 Mg 3.05-3.16
Pb 0.2500 0.1890 0.7389  5 Mg 3.05-3.16

---

[13]
DFT (GGA-PBE) results for crystalline Al3Te at its relaxed geometry.

Formation energy from raw total energies, meV/atom: 310
Crystal system: cubic
Space-group type: No. 225

Lattice parameters (Å, degrees): 4.9021 4.9021 4.9021 60.00 60.00 60.00
Last column: nearest neighbours and their distance in Å.
Element x y z (fractional)
Te 0.7500 0.7500 0.7500  8 Al 3.00
Al 0.0000 0.0000 0.0000  4 Te 3.00, 4 Al 3.00
Al 0.2500 0.2500 0.2500  8 Al 3.00
Al 0.5000 0.5000 0.5000  4 Te 3.00, 4 Al 3.00

---

[14]
DFT (GGA-PBE) results for crystalline K2Na13 at its relaxed geometry.

Crystal system: trigonal
Space-group type: No. 166

Lattice parameters (Å, degrees): 9.9394 9.9394 10.7011 62.33 62.33 60.00
Last column: nearest neighbours and their distance in Å.
Element x y z (fractional)
K 0.7442 0.7442 0.7673  9 Na 3.75-4.17
K 0.2558 0.2558 0.2327  9 Na 3.75-4.17
Na 0.5000 0.5000 0.5000  12 Na 3.60-3.69
Na 0.1544 0.5082 0.8291  6 Na 3.51-3.70, 1 K 3.75
Na 0.5082 0.5082 0.8291  6 Na 3.51-3.70, 1 K 3.75
Na 0.5082 0.1544 0.8291  6 Na 3.51-3.70, 1 K 3.75
Na 0.4918 0.8456 0.1709  6 Na 3.51-3.70, 1 K 3.75
Na 0.8456 0.4918 0.1709  6 Na 3.51-3.70, 1 K 3.75
Na 0.4918 0.4918 0.1709  6 Na 3.51-3.70, 1 K 3.75
Na 0.1208 0.7417 0.3959  7 Na 3.69-4.03, 1 K 4.00
Na 0.7417 0.7417 0.3959  7 Na 3.69-4.03, 1 K 4.00
Na 0.7417 0.1208 0.3959  7 Na 3.69-4.03, 1 K 4.00
Na 0.2583 0.8792 0.6041  7 Na 3.69-4.03, 1 K 4.00
Na 0.8792 0.2583 0.6041  7 Na 3.69-4.03, 1 K 4.00
Na 0.2583 0.2583 0.6041  7 Na 3.69-4.03, 1 K 4.00

---

[15]
DFT (GGA-PBE) results for crystalline Tb5Tl2Rh at its relaxed geometry.

Crystal system: orthorhombic
Space-group type: No. 55

Lattice parameters (Å, degrees): 4.7599 7.5410 12.3196 90.00 90.00 90.00
Last column: nearest neighbours and their distance in Å.
Element x y z (fractional)
Tb 0.0000 0.0000 0.5000  4 Tl 3.20, 4 Tb 3.51
Tb 0.0000 0.5000 0.0000  4 Tl 3.20, 4 Tb 3.51
Tb 0.0000 0.8657 0.2066  1 Rh 2.74
Tb 0.0000 0.1343 0.7934  1 Rh 2.74
Tb 0.0000 0.6343 0.7066  1 Rh 2.74
Tb 0.0000 0.3657 0.2934  1 Rh 2.74
Tb 0.5000 0.6814 0.4233  2 Rh 2.90, 2 Tl 3.23-3.25
Tb 0.5000 0.3186 0.5767  2 Rh 2.90, 2 Tl 3.23-3.25
Tb 0.5000 0.8186 0.9233  2 Rh 2.90, 2 Tl 3.23-3.25
Tb 0.5000 0.1814 0.0767  2 Rh 2.90, 2 Tl 3.23-3.25
Tl 0.5000 0.5834 0.1666  9 Tb 3.20-3.48
Tl 0.5000 0.4166 0.8334  9 Tb 3.20-3.48
Tl 0.5000 0.9166 0.6666  9 Tb 3.20-3.48
Tl 0.5000 0.0834 0.3334  9 Tb 3.20-3.48
Rh 0.0000 0.5000 0.5000  6 Tb 2.74-2.90
Rh 0.0000 0.0000 0.0000  6 Tb 2.74-2.90

---

[16]
DFT (GGA-PBE) results for crystalline LaZnN2Cl at its relaxed geometry.

Formation energy from raw total energies, meV/atom: 668
Crystal system: tetragonal
Space-group type: No. 123

Lattice parameters (Å, degrees): 4.2122 9.1557 4.2122 90.00 90.00 90.00
Last column: nearest neighbours and their distance in Å.
Element x y z (fractional)
N 0.0000 0.0000 0.5000  2 La 2.11
N 0.5000 0.0000 0.0000  2 La 2.11
Zn 0.0000 0.5000 0.0000  4 Cl 2.98
Cl 0.5000 0.5000 0.5000  4 Zn 2.98
La 0.0000 0.0000 0.0000  4 N 2.11

---

[17]
DFT (GGA-PBE) results for crystalline Na2Fe2Ru at its relaxed geometry.

Crystal system: tetragonal
Space-group type: No. 139

Lattice parameters (Å, degrees): 3.5123 3.5123 7.2608 76.00 76.00 90.00
Last column: nearest neighbours and their distance in Å.
Element x y z (fractional)
Ru 0.0000 0.0000 0.0000  8 Fe 2.70
Fe 0.4231 0.4231 0.1538  1 Fe 2.10
Fe 0.5769 0.5769 0.8462  1 Fe 2.10
Na 0.7500 0.2500 0.5000  4 Na 2.48
Na 0.2500 0.7500 0.5000  4 Na 2.48

---

[18]
DFT (GGA-PBE) results for crystalline TaV2Mo2 at its relaxed geometry.

Crystal system: trigonal
Space-group type: No. 166

Lattice parameters (Å, degrees): 4.3940 4.3920 5.2546 65.30 65.28 59.99
Last column: nearest neighbours and their distance in Å.
Element x y z (fractional)
Ta 0.5000 0.5000 0.0000  6 Mo 2.72, 2 V 2.83
V 0.7046 0.7048 0.3861  4 Mo 2.66-2.75, 3 V 2.74-2.75, 1 Ta 2.83
V 0.2954 0.2952 0.6139  4 Mo 2.66-2.75, 3 V 2.74-2.75, 1 Ta 2.83
Mo 0.0958 0.0961 0.2123  1 Mo 2.65, 4 V 2.66-2.75, 3 Ta 2.72
Mo 0.9042 0.9039 0.7877  1 Mo 2.65, 4 V 2.66-2.75, 3 Ta 2.72

---

Table of total moment (μB per atom), in record order: 0.76 0.00 0.00 0.00 0.00 0.00 0.00 0.00 0.17 0.43 0.00 0.00 0.00 0.00 0.00 0.02 1.26 0.00
Table of theoretical density (g/cm³), in record order: 9.14 6.59 11.25 3.03 5.35 13.11 6.22 3.21 5.78 4.70 12.62 5.15 4.16 0.81 9.81 2.74 5.10 10.25
Table of VASP energy (eV per atom), in record order: -2.05 -4.80 -3.24 -3.39 -4.88 -8.73 -6.82 -2.64 -5.10 -3.57 -9.20 -2.11 -3.28 -1.16 -4.85 -4.27 -4.82 -10.47